Entry 1:
Here is a relaxed structure of CdPtAu3 from Alexandria. Energies are from PBE.

DOS at the Fermi energy: 2.1 states/eV/cell
Energy relative to the elements: 1.15 eV/atom
Uncorrected energy: -11.1 eV for the cell shown

Unit cell a=5.038 b=5.038 c=5.038 alpha=90.00 beta=90.00 gamma=90.00
Space group Pm-3m (No. 221)
Unique sites:
1 Cd 0.000 0.000 0.000 (multiplicity 1)
2 Pt 0.500 0.500 0.500 (multiplicity 1)
3 Au 0.000 0.000 0.500 (multiplicity 3)

---

Entry 2:
Here is a relaxed structure of CaDyAgHg from Alexandria. Energies are from PBE.

DOS at the Fermi energy: 11.9 states/eV/cell
Energy relative to the elements: -0.40 eV/atom
Uncorrected energy: -45.5 eV for the cell shown

Unit cell a=7.393 b=7.393 c=7.393 alpha=90.00 beta=90.00 gamma=90.00
Space group F-43m (No. 216)
Unique sites:
1 Ca 0.000 0.000 0.000 (multiplicity 4)
2 Dy 0.000 0.000 0.500 (multiplicity 4)
3 Ag 0.250 0.250 0.750 (multiplicity 4)
4 Hg 0.250 0.250 0.250 (multiplicity 4)

---

Entry 3:
Here is a relaxed structure of Cs2RbHgH5 from Alexandria. Energies are from PBE.

DOS at the Fermi energy: 0.0 states/eV/cell
Uncorrected energy: -83.8 eV for the cell shown

Unit cell a=8.292 b=8.292 c=12.482 alpha=90.00 beta=90.00 gamma=90.00
Space group I4/mcm (No. 140)
Unique sites:
1 Cs 0.181 0.319 0.000 (multiplicity 8)
2 Rb 0.000 0.000 0.250 (multiplicity 4)
3 Hg 0.000 0.500 0.250 (multiplicity 4)
4 H 0.000 0.000 0.000 (multiplicity 4)
5 H 0.125 0.375 0.336 (multiplicity 16)

---

Entry 4:
Here is a relaxed structure of Tb4TmGe4 from Alexandria. Energies are from PBE.

DOS at the Fermi energy: 18.5 states/eV/cell
Energy relative to the elements: -0.59 eV/atom
Uncorrected energy: -93.5 eV for the cell shown

Unit cell a=9.033 b=9.033 c=5.875 alpha=90.00 beta=90.00 gamma=90.00
Space group P4_2/n (No. 86, origin choice 2)
Unique sites:
1 Tb 0.069 0.663 0.130 (multiplicity 8)
2 Tm 0.250 0.250 0.250 (multiplicity 2)
3 Ge 0.020 0.623 0.627 (multiplicity 8)

---

Entry 5:
Here is a relaxed structure of AcHgPO4 from Alexandria. Energies are from PBE.

DOS at the Fermi energy: 0.0 states/eV/cell
Raw formation energy: -2.411 eV per atom
Uncorrected energy: -186.1 eV for the cell shown

Unit cell a=9.025 b=9.025 c=9.025 alpha=90.00 beta=90.00 gamma=90.00
Space group F-43m (No. 216)
Unique sites:
1 Ac 0.000 0.000 0.000 (multiplicity 4)
2 Hg 0.250 0.250 0.250 (multiplicity 4)
3 P 0.250 0.250 0.750 (multiplicity 4)
4 O 0.151 0.151 0.849 (multiplicity 16)

---

Entry 6:
Here is a relaxed structure of AcLa9Mg2 from Alexandria. Energies are from PBE.

DOS at the Fermi energy: 19.1 states/eV/cell
Energy relative to the elements: -0.01 eV/atom
Uncorrected energy: -51.7 eV for the cell shown

Unit cell a=5.213 b=5.213 c=15.556 alpha=90.00 beta=90.00 gamma=90.00
Space group P4/mmm (No. 123)
Unique sites:
1 Ac 0.000 0.000 0.000 (multiplicity 1)
2 La 0.000 0.500 0.174 (multiplicity 4)
3 La 0.000 0.500 0.500 (multiplicity 2)
4 La 0.500 0.500 0.000 (multiplicity 1)
5 La 0.500 0.500 0.338 (multiplicity 2)
6 Mg 0.000 0.000 0.339 (multiplicity 2)

---

Entry 7:
Here is a relaxed structure of AsPbS3 from Alexandria. Energies are from PBE.

DOS at the Fermi energy: 5.2 states/eV/cell
Raw formation energy: 0.953 eV per atom
Uncorrected energy: -16.0 eV for the cell shown

Unit cell a=5.111 b=5.111 c=5.111 alpha=90.00 beta=90.00 gamma=90.00
Space group Pm-3m (No. 221)
Unique sites:
1 As 0.000 0.000 0.000 (multiplicity 1)
2 Pb 0.500 0.500 0.500 (multiplicity 1)
3 S 0.000 0.500 0.500 (multiplicity 3)

---

Entry 8:
Here is a relaxed structure of CsV2Br8 from Alexandria. Energies are from PBE.

DOS at the Fermi energy: 26.5 states/eV/cell
Raw formation energy: -0.994 eV per atom
Uncorrected energy: -86.8 eV for the cell shown

Unit cell a=14.171 b=7.807 c=9.242 alpha=90.00 beta=110.02 gamma=90.00
Space group C2/m (No. 12)
Unique sites:
1 Cs 0.000 0.000 0.000 (multiplicity 2)
2 V 0.206 0.000 0.695 (multiplicity 4)
3 Br 0.120 0.500 0.177 (multiplicity 4)
4 Br 0.136 0.242 0.769 (multiplicity 8)
5 Br 0.171 0.000 0.429 (multiplicity 4)